Entry 1:
This record from Alexandria via LeMat-Bulk describes HoGa3Ag3 after structural relaxation. The functional is PBE.

Calculated values
Total magnetic moment = 0.00 Bohr magnetons per cell
Volume = 18.910 A^3/atom
Space group = No. 11
Electronic total energy = -3.406 eV per atom
Relative energy among the computed polymorphs = 0.000 eV per atom

Lattice parameters (Å, degrees): 6.6383 4.3204 9.5714 90.00 105.33 90.00
Sites, in units of the cell vectors:
Ho: 0.2365 0.2500 0.1130
Ho: 0.7635 0.7500 0.8870
Ga: 0.2219 0.7500 0.8981
Ga: 0.4049 0.7500 0.3857
Ga: 0.4385 0.2500 0.8441
Ga: 0.5615 0.7500 0.1559
Ga: 0.5951 0.2500 0.6143
Ga: 0.7781 0.2500 0.1019
Ag: 0.0124 0.2500 0.7431
Ag: 0.1410 0.2500 0.4531
Ag: 0.3258 0.7500 0.6462
Ag: 0.6742 0.2500 0.3538
Ag: 0.8590 0.7500 0.5469
Ag: 0.9876 0.7500 0.2569



Entry 2:
This record from Alexandria via LeMat-Bulk describes Ho2GaAg after structural relaxation. The functional is PBE.

Calculated values
Total magnetic moment = 0.00 Bohr magnetons per cell
Volume = 25.970 A^3/atom
Space group = No. 166
Electronic total energy = -3.726 eV per atom

Lattice parameters (Å, degrees): 10.5056 10.5056 10.5056 18.68 18.68 18.68
Sites, in units of the cell vectors:
Ho: 0.0956 0.0956 0.0956
Ho: 0.9044 0.9044 0.9044
Ga: 0.5000 0.5000 0.5000
Ag: 0.0000 0.0000 0.0000



Entry 3:
This record from Alexandria via LeMat-Bulk describes HoGa2Ag after structural relaxation. The functional is PBE.

Calculated values
Total magnetic moment = 0.00 Bohr magnetons per cell
Volume = 19.895 A^3/atom
Space group = No. 123
Electronic total energy = -3.763 eV per atom

Lattice parameters (Å, degrees): 4.3912 4.3912 4.1271 90.00 90.00 90.00
Sites, in units of the cell vectors:
Ho: 0.0000 0.0000 0.0000
Ga: 0.0000 0.5000 0.5000
Ga: 0.5000 0.0000 0.5000
Ag: 0.5000 0.5000 0.0000



Entry 4:
This record from Alexandria via LeMat-Bulk describes Ho5Ga2Ag2 after structural relaxation. The functional is PBE.

Calculated values
Total magnetic moment = 0.00 Bohr magnetons per cell
Volume = 25.367 A^3/atom
Space group = No. 46
Electronic total energy = -4.131 eV per atom

Lattice parameters (Å, degrees): 10.8644 10.8644 10.8644 53.24 145.57 140.68
Sites, in units of the cell vectors:
Ho: 0.1279 0.0293 0.5985
Ho: 0.1447 0.0842 0.2288
Ho: 0.1447 0.4158 0.5605
Ho: 0.4308 0.5293 0.4015
Ho: 0.4751 0.7770 0.0081
Ho: 0.4751 0.9670 0.1981
Ho: 0.7689 0.2770 0.8019
Ho: 0.7689 0.4670 0.9919
Ho: 0.8553 0.5842 0.4395
Ho: 0.8553 0.9158 0.7712
Ga: 0.1880 0.3732 0.9102
Ga: 0.1880 0.7778 0.3148
Ga: 0.4630 0.2778 0.0898
Ga: 0.4630 0.8732 0.6852
Ag: 0.0026 0.6798 0.8228
Ag: 0.6666 0.1666 0.5000
Ag: 0.6666 0.6666 0.0000
Ag: 0.8571 0.1798 0.1772